A relaxed Na2Zn3GaAu4 crystal, computed with GGA-PBE.

Energy of formation from the pure elements ... -0.253 eV per atom
Total magnetization ... 0.000 Bohr magnetons per cell
Theoretical density ... 8.76 g cm⁻³

Unit cell a=4.365 b=4.365 c=10.944 alpha=90.00 beta=90.00 gamma=90.00
Element x y z (fractional)
1 Au 0.000 0.000 0.000
2 Zn 0.000 0.000 0.500
3 Zn 0.500 0.000 0.867
4 Na 0.500 0.000 0.240
5 Na 0.000 0.500 0.760
6 Au 0.500 0.000 0.635
7 Zn 0.000 0.500 0.133
8 Ga 0.500 0.500 0.500
9 Au 0.000 0.500 0.365
10 Au 0.500 0.500 0.000